# ZnFe2RuN | the Alexandria database | PBE | optimized geometry
data_ZnFe2RuN
_chemical_formula_sum 'Zn1 Fe2 Ru1 N1'
_space_group_name_H-M_alt 'P 1'
_space_group_IT_number 1
_space_group_name_Hall 'P 1'
_cell_length_a 3.8038
_cell_length_b 3.8038
_cell_length_c 4.0194
_cell_angle_alpha 90.00
_cell_angle_beta 90.00
_cell_angle_gamma 90.00
loop_
_atom_site_label
_atom_site_type_symbol
_atom_site_fract_x
_atom_site_fract_y
_atom_site_fract_z
Zn1 Zn 0.0000 0.0000 0.0000
Fe1 Fe 0.0000 0.5000 0.5000
Fe2 Fe 0.5000 0.0000 0.5000
Ru1 Ru 0.5000 0.5000 0.0000
N1 N 0.5000 0.5000 0.5000
# E_form (uncorrected)	-0.050	eV per atom
# magnetization	3.871	Bohr magnetons per cell
# symmetry	No. 123
# raw total energy	-7.2100	eV/atom